The following is a DFT calculation (PBE-GGA) of Li15Mg6Cd8 after structural relaxation.

Cell lengths 9.218, 9.218, 9.218 Å; angles 60.00, 60.00, 60.00 degrees
Fractional coordinates of all 29 atoms:
Li1 0.001 0.333 0.333
Li2 0.999 0.667 0.667
Li3 0.333 0.333 0.001
Li4 0.333 0.333 0.333
Li5 0.667 0.667 0.999
Li6 0.667 0.667 0.667
Li7 0.333 0.001 0.333
Li8 0.667 0.999 0.667
Li9 0.500 0.500 0.000
Li10 0.000 0.000 0.500
Li11 0.500 0.000 0.000
Li12 0.000 0.500 0.500
Li13 0.500 0.000 0.500
Li14 0.000 0.500 0.000
Li15 0.000 0.000 0.000
Mg1 0.697 0.697 0.303
Mg2 0.303 0.303 0.697
Mg3 0.697 0.303 0.303
Mg4 0.303 0.697 0.697
Mg5 0.697 0.303 0.697
Mg6 0.303 0.697 0.303
Cd1 0.637 0.121 0.121
Cd2 0.363 0.879 0.879
Cd3 0.121 0.121 0.637
Cd4 0.121 0.121 0.121
Cd5 0.879 0.879 0.363
Cd6 0.879 0.879 0.879
Cd7 0.121 0.637 0.121
Cd8 0.879 0.363 0.879

## Properties
As for the space group: Fm-3m (225). The value obtained for the formation energy is -0.13 eV per atom. As for the density of states at the Fermi level: 10.8 states/eV per cell. The total energy comes out at -49.3 eV/f.u. Its total magnetization is 0.00 μB/f.u.

***

The following is a DFT calculation (PBE-GGA) of Li6MgCd2 after structural relaxation.

Cell lengths 7.439, 7.439, 8.664 Å; angles 90.00, 90.00, 90.00 degrees
Fractional coordinates of all 18 atoms:
Li1 0.743 0.743 0.172
Li2 0.743 0.743 0.828
Li3 0.729 0.729 0.500
Li4 0.771 0.229 0.000
Li5 0.757 0.243 0.328
Li6 0.757 0.243 0.672
Li7 0.243 0.757 0.328
Li8 0.243 0.757 0.672
Li9 0.229 0.771 0.000
Li10 0.271 0.271 0.500
Li11 0.257 0.257 0.172
Li12 0.257 0.257 0.828
Mg1 0.500 0.500 0.000
Mg2 0.000 0.000 0.500
Cd1 0.500 0.500 0.330
Cd2 0.500 0.500 0.670
Cd3 0.000 0.000 0.170
Cd4 0.000 0.000 0.830

## Properties
As for the space group: P4_2/mnm (136). The value obtained for the formation energy is 0.12 eV per atom. As for the density of states at the Fermi level: 9.6 states/eV per cell. The total energy comes out at -13.8 eV/f.u. Its total magnetization is 0.00 μB/f.u.

***

The following is a DFT calculation (PBE-GGA) of Li4Mg3Cd after structural relaxation.

Cell lengths 4.807, 4.807, 7.524 Å; angles 108.50, 108.63, 90.00 degrees
Fractional coordinates of all 8 atoms:
Mg1 0.000 0.500 0.000
Mg2 0.747 0.246 0.494
Mg3 0.253 0.754 0.506
Cd1 0.500 0.000 0.000
Li1 0.379 0.379 0.759
Li2 0.621 0.621 0.241
Li3 0.121 0.121 0.241
Li4 0.879 0.879 0.759

## Properties
As for the space group: C2/m (12). The value obtained for the formation energy is -0.11 eV per atom. As for the density of states at the Fermi level: 2.9 states/eV per cell. The total energy comes out at -14.3 eV/f.u. Its total magnetization is 0.00 μB/f.u.

***

The following is a DFT calculation (PBE-GGA) of LiMgCd4 after structural relaxation.

Cell lengths 4.198, 5.263, 7.089 Å; angles 104.07, 72.78, 66.49 degrees
Fractional coordinates of all 6 atoms:
Li1 0.500 0.500 0.500
Mg1 0.000 0.000 0.000
Cd1 0.841 0.493 0.824
Cd2 0.325 0.014 0.337
Cd3 0.159 0.507 0.176
Cd4 0.675 0.986 0.663

## Properties
As for the space group: C2/m (12). The value obtained for the formation energy is -0.14 eV per atom. As for the density of states at the Fermi level: 1.6 states/eV per cell. The total energy comes out at -8.0 eV/f.u. Its total magnetization is 0.00 μB/f.u.

***

The following is a DFT calculation (PBE-GGA) of Li10Mg6Cd after structural relaxation.

Cell lengths 5.964, 8.335, 8.335 Å; angles 120.00, 90.00, 90.00 degrees
Fractional coordinates of all 17 atoms:
Li1 0.841 0.694 0.694
Li2 0.841 0.000 0.306
Li3 0.841 0.306 0.000
Li4 0.159 0.306 0.306
Li5 0.159 0.000 0.694
Li6 0.159 0.694 0.000
Li7 0.500 0.333 0.667
Li8 0.500 0.667 0.333
Li9 0.000 0.667 0.333
Li10 0.000 0.333 0.667
Mg1 0.654 0.348 0.348
Mg2 0.654 0.000 0.652
Mg3 0.654 0.652 0.000
Mg4 0.346 0.652 0.652
Mg5 0.346 0.000 0.348
Mg6 0.346 0.348 0.000
Cd1 0.500 0.000 0.000

## Properties
As for the space group: P-31m (162). The value obtained for the formation energy is -0.03 eV per atom. As for the density of states at the Fermi level: 8.3 states/eV per cell. The total energy comes out at -30.1 eV/f.u. Its total magnetization is 0.00 μB/f.u.

***

The following is a DFT calculation (PBE-GGA) of Li3MgCd6 after structural relaxation.

Cell lengths 4.867, 8.242, 10.452 Å; angles 108.65, 90.00, 90.00 degrees
Fractional coordinates of all 20 atoms:
Li1 0.250 0.554 0.380
Li2 0.750 0.446 0.620
Li3 0.250 0.359 0.786
Li4 0.750 0.641 0.214
Li5 0.250 0.761 0.979
Li6 0.750 0.239 0.021
Mg1 0.250 0.957 0.583
Mg2 0.750 0.043 0.417
Cd1 0.250 0.467 0.081
Cd2 0.750 0.533 0.919
Cd3 0.250 0.165 0.186
Cd4 0.750 0.835 0.814
Cd5 0.250 0.641 0.677
Cd6 0.750 0.359 0.323
Cd7 0.250 0.272 0.496
Cd8 0.750 0.728 0.504
Cd9 0.250 0.840 0.276
Cd10 0.750 0.160 0.724
Cd11 0.250 0.071 0.887
Cd12 0.750 0.929 0.113

## Properties
As for the space group: P2_1/m (11). The value obtained for the formation energy is -0.19 eV per atom. As for the density of states at the Fermi level: 6.4 states/eV per cell. The total energy comes out at -14.8 eV/f.u. Its total magnetization is 0.00 μB/f.u.

***

The following is a DFT calculation (PBE-GGA) of LiMg2Cd2 after structural relaxation.

Cell lengths 3.378, 3.103, 10.318 Å; angles 81.35, 90.00, 90.00 degrees
Fractional coordinates of all 5 atoms:
Li1 0.000 0.000 0.000
Mg1 0.000 0.184 0.632
Mg2 0.000 0.816 0.368
Cd1 0.500 0.416 0.168
Cd2 0.500 0.584 0.832

## Properties
As for the space group: Cmmm (65). The value obtained for the formation energy is -0.11 eV per atom. As for the density of states at the Fermi level: 1.2 states/eV per cell. The total energy comes out at -7.5 eV/f.u. Its total magnetization is 0.00 μB/f.u.

***

The following is a DFT calculation (PBE-GGA) of Li6MgCd8 after structural relaxation.

Cell lengths 7.533, 7.533, 7.533 Å; angles 59.57, 59.57, 59.57 degrees
Fractional coordinates of all 15 atoms:
Li1 0.956 0.473 0.712
Li2 0.288 0.044 0.527
Li3 0.527 0.288 0.044
Li4 0.473 0.712 0.956
Li5 0.712 0.956 0.473
Li6 0.044 0.527 0.288
Mg1 0.000 0.000 0.000
Cd1 0.132 0.651 0.834
Cd2 0.166 0.868 0.349
Cd3 0.349 0.166 0.868
Cd4 0.594 0.594 0.594
Cd5 0.406 0.406 0.406
Cd6 0.651 0.834 0.132
Cd7 0.834 0.132 0.651
Cd8 0.868 0.349 0.166

## Properties
As for the space group: R-3 (148). The value obtained for the formation energy is -0.17 eV per atom. As for the density of states at the Fermi level: 3.3 states/eV per cell. The total energy comes out at -23.0 eV/f.u. Its total magnetization is 0.00 μB/f.u.

***

> What is the formula in the fifth record?

Li10Mg6Cd